Computed, not measured: a relaxed Sr3W crystal at the GGA-PBE level of DFT.

Output
symmetry: P4/mmm (123)
energy of formation from the pure elements: 1.128 eV/atom
total DFT energy (no corrections): -0.124 hartree per atom

Cell and atoms, written as POSCAR:
```
Sr3W
1.0
-4.7853 -0.4215 -2.1732
-1.6203 -2.8917 4.1288
-1.5219 4.4149 2.4948
W Sr
1 3
Direct
0.0000 0.5000 0.4167 W
0.5000 0.0000 0.4167 Sr
0.5000 0.5000 0.9167 Sr
0.0000 0.0000 0.9167 Sr
```

---

Computed, not measured: a relaxed SrW crystal at the GGA-PBE level of DFT.

Output
symmetry: P-3m1 (164)
energy of formation from the pure elements: 0.524 eV/atom
total DFT energy (no corrections): -0.250 hartree per atom

Cell and atoms, written as POSCAR:
```
SrW
1.0
2.2289 -3.8606 0.0000
2.2289 3.8606 0.0000
0.0000 0.0000 12.7252
W Sr
3 3
Direct
0.3333 0.6667 0.6814 W
0.6667 0.3333 0.7222 W
0.0000 0.0000 0.7630 W
0.0000 0.0000 0.5037 Sr
0.3333 0.6667 0.9408 Sr
0.6667 0.3333 0.2222 Sr
```

---

Computed, not measured: a relaxed SrW crystal at the GGA-PBE level of DFT.

Output
symmetry: P4_2/mnm (136)
energy of formation from the pure elements: 1.717 eV/atom
total DFT energy (no corrections): -0.206 hartree per atom

Cell and atoms, written as POSCAR:
```
SrW
1.0
6.5609 0.0000 0.0000
0.0000 6.5609 0.0000
0.0000 0.0000 6.4584
Sr W
4 4
Direct
0.8202 0.8202 0.5000 Sr
0.1798 0.1798 0.5000 Sr
0.6798 0.3202 0.0000 Sr
0.3202 0.6798 0.0000 Sr
0.1185 0.1185 0.0000 W
0.6185 0.3815 0.5000 W
0.8815 0.8815 0.0000 W
0.3815 0.6185 0.5000 W
```

---

Computed, not measured: a relaxed SrW3 crystal at the GGA-PBE level of DFT.

Output
symmetry: P4/mmm (123)
energy of formation from the pure elements: 0.856 eV/atom
total DFT energy (no corrections): -0.341 hartree per atom

Cell and atoms, written as POSCAR:
```
SrW3
1.0
3.1852 0.0000 0.0000
0.0000 3.1852 0.0000
0.0000 0.0000 8.1754
Sr W
1 3
Direct
0.0000 0.0000 0.0000 Sr
0.5000 0.5000 0.6829 W
0.0000 0.0000 0.5000 W
0.5000 0.5000 0.3171 W
```

---

Computed, not measured: a relaxed Sr3W crystal at the GGA-PBE level of DFT.

Output
symmetry: P-6m2 (187)
energy of formation from the pure elements: 1.091 eV/atom
total DFT energy (no corrections): -0.125 hartree per atom

Cell and atoms, written as POSCAR:
```
Sr3W
1.0
-2.2937 -2.6585 1.4208
3.3979 0.6015 1.5619
-4.8778 8.1932 7.4560
W Sr
1 3
Direct
0.6667 0.3333 0.7500 W
0.0000 0.0000 0.9440 Sr
0.6667 0.3333 0.2500 Sr
0.0000 0.0000 0.5560 Sr
```

---

Computed, not measured: a relaxed Sr4W crystal at the GGA-PBE level of DFT.

Output
symmetry: Im-3m (229)
energy of formation from the pure elements: 0.940 eV/atom
total DFT energy (no corrections): -0.110 hartree per atom

Cell and atoms, written as POSCAR:
```
Sr4W
1.0
-3.8356 3.8356 3.8356
3.8356 -3.8356 3.8356
3.8356 3.8356 -3.8356
Sr W
4 1
Direct
0.0000 0.5000 0.0000 Sr
0.5000 0.5000 0.5000 Sr
0.5000 0.0000 0.0000 Sr
0.0000 0.0000 0.5000 Sr
0.0000 0.0000 0.0000 W
```

---

no.,distance to the lowest polymorph of the same formula (eV per formula unit)
1,2.46
2,0.00
3,2.39
4,0.34
5,2.31
6,0.40